A plane-wave DFT calculation with GGA-PBE was carried out for a geometry-optimized KRbBi structure.

Output
Energy of formation from the pure elements   -0.6 eV/f.u.
Offset from the most stable computed form   14.40 kJ per mole of atoms
Space-group type   F-43m, No. 216
Density of states at the Fermi level   1.469 states/eV/atom
Electronic total energy   -2.175 eV per atom
M_tot   1.02 μB per cell

abc: 6.1979 6.1979 6.1979
angles: 60.00 60.00 60.00
Last column: nearest neighbours and their distance in Å.
Sites, in units of the cell vectors:
K (0.0000, 0.0000, 0.0000)  4 Bi 3.80
Rb (0.5000, 0.5000, 0.5000)  4 Bi 3.80
Bi (0.2500, 0.2500, 0.2500)  4 K 3.80, 4 Rb 3.80

---

A plane-wave DFT calculation with GGA-PBE was carried out for a geometry-optimized K2RbBi2 structure.

Output
Energy of formation from the pure elements   -1.6 eV/f.u.
Offset from the most stable computed form   0.00 kJ per mole of atoms
Space-group type   Immm, No. 71
Density of states at the Fermi level   0.969 states/eV/atom
Electronic total energy   -2.504 eV per atom
M_tot   0.00 μB per cell

abc: 6.8641 6.8641 6.8641
angles: 128.57 110.72 91.31
Last column: nearest neighbours and their distance in Å.
Sites, in units of the cell vectors:
K (0.1976, 0.1976, 0.0000)  6 Bi 3.77-3.83, 1 K 3.79, 2 Rb 4.16
K (0.8024, 0.8024, 0.0000)  6 Bi 3.77-3.83, 1 K 3.79, 2 Rb 4.16
Rb (0.5000, 0.0000, 0.5000)  4 Bi 3.83, 4 K 4.16
Bi (0.1915, 0.5000, 0.6915)  1 Bi 2.99
Bi (0.8085, 0.5000, 0.3085)  1 Bi 2.99

---

A plane-wave DFT calculation with GGA-PBE was carried out for a geometry-optimized KRbBiSb structure.

Output
Space-group type   Amm2, No. 38
Formation energy without anion corrections   -0.3700 eV/atom
Density of states at the Fermi level   0.276 states/eV/atom
Electronic total energy   -2.887 eV per atom
M_tot   0.00 μB per cell

abc: 4.7567 7.1142 7.1142
angles: 47.61 90.00 90.00
Last column: nearest neighbours and their distance in Å.
Sites, in units of the cell vectors:
K (0.0000, 0.0000, 0.0000)  4 Sb 3.80, 3 Bi 3.84-3.96, 2 Rb 4.20
Rb (0.5000, 0.2656, 0.2656)  3 Sb 3.77-3.97, 4 Bi 3.84, 2 K 4.20
Bi (0.0000, 0.6958, 0.6958)  2 Sb 3.00
Sb (0.5000, 0.5554, 0.5554)  2 Bi 3.00

---

A plane-wave DFT calculation with GGA-PBE was carried out for a geometry-optimized K2RbBiSe3 structure.

Output
Space-group type   P2_13, No. 198
Formation energy without anion corrections   -0.9686 eV/atom
Density of states at the Fermi level   0.000 states/eV/atom
Electronic total energy   -3.468 eV per atom
M_tot   0.00 μB per cell

abc: 10.0889 10.0889 10.0889
angles: 90.00 90.00 90.00
Last column: nearest neighbours and their distance in Å.
Sites, in units of the cell vectors:
K (0.1818, 0.3182, 0.6818)  6 Se 3.36-3.53
K (0.1883, 0.6883, 0.8117)  6 Se 3.35-3.53
K (0.3117, 0.3117, 0.3117)  6 Se 3.35-3.53
K (0.3182, 0.6818, 0.1818)  6 Se 3.36-3.53
K (0.6818, 0.1818, 0.3182)  6 Se 3.36-3.53
K (0.6883, 0.8117, 0.1883)  6 Se 3.35-3.53
K (0.8117, 0.1883, 0.6883)  6 Se 3.35-3.53
K (0.8182, 0.8182, 0.8182)  6 Se 3.36-3.53
Rb (0.0722, 0.0722, 0.0722)  6 Se 3.59-3.69
Rb (0.4278, 0.9278, 0.5722)  6 Se 3.59-3.69
Rb (0.5722, 0.4278, 0.9278)  6 Se 3.59-3.69
Rb (0.9278, 0.5722, 0.4278)  6 Se 3.59-3.69
Bi (0.0291, 0.9709, 0.4709)  3 Se 2.69
Bi (0.4709, 0.0291, 0.9709)  3 Se 2.69
Bi (0.5291, 0.5291, 0.5291)  3 Se 2.69
Bi (0.9709, 0.4709, 0.0291)  3 Se 2.69
Se (0.0022, 0.2257, 0.3968)  1 Bi 2.69
Se (0.1032, 0.9978, 0.7257)  1 Bi 2.69
Se (0.2257, 0.3968, 0.0022)  1 Bi 2.69
Se (0.2743, 0.6032, 0.5022)  1 Bi 2.69
Se (0.3968, 0.0022, 0.2257)  1 Bi 2.69
Se (0.4978, 0.7743, 0.8968)  1 Bi 2.69
Se (0.5022, 0.2743, 0.6032)  1 Bi 2.69
Se (0.6032, 0.5022, 0.2743)  1 Bi 2.69
Se (0.7257, 0.1032, 0.9978)  1 Bi 2.69
Se (0.7743, 0.8968, 0.4978)  1 Bi 2.69
Se (0.8968, 0.4978, 0.7743)  1 Bi 2.69
Se (0.9978, 0.7257, 0.1032)  1 Bi 2.69

---

- Among the records above, which one has the lowest density of states at the Fermi level?
  K2RbBiSe3

---

- Look up the M_tot of the fourth one.
  0.00 μB per cell

---

- Look up the electronic total energy of the first one.
  -2.175 eV per atom

---

- Which value of density of states at the Fermi level does entry 4 give?
  0.000 states/eV/atom